CsIn2Os | GGA-PBE | optimized geometry

a = 7.051 Å, b = 7.051 Å, c = 8.889 Å
α = 66.63°, β = 66.63°, γ = 90.00°
Fractional coordinates of all 8 atoms:
1 In 0.875 0.125 0.750
2 Cs 0.250 0.750 0.500
3 Os 0.000 0.000 0.000
4 Os 0.750 0.250 0.500
5 In 0.375 0.125 0.750
6 Cs 0.500 0.500 0.000
7 In 0.875 0.625 0.250
8 In 0.875 0.125 0.250

space-group type: I4_1/amd, No. 141
offset from the most stable computed form: 0 meV/atom
theoretical density: 5.0 g cm⁻³
formation energy from the elements: 2.2 eV/f.u.

***

TlCr2Cu | GGA-PBE | optimized geometry

a = 4.886 Å, b = 4.886 Å, c = 4.886 Å
α = 131.24°, β = 131.24°, γ = 71.43°
Last column: magnetic moment on the atom in μB.
Fractional coordinates of all 4 atoms:
1 Cu 0.500 0.500 0.000  -0.02
2 Cr 0.000 0.000 0.000  3.19
3 Tl 0.750 0.250 0.500  0.01
4 Cr 0.250 0.750 0.500  -3.25

space-group type: I-4m2, No. 119
theoretical density: 9.6 g cm⁻³
formation energy from the elements: 1.9 eV/f.u.

***

V2SnHRh | GGA-PBE | optimized geometry

a = 3.845 Å, b = 3.845 Å, c = 4.280 Å
α = 90.00°, β = 90.00°, γ = 90.00°
Fractional coordinates of all 5 atoms:
1 Rh 0.000 0.000 0.500
2 V 0.000 0.500 0.000
3 V 0.500 0.000 0.000
4 H 0.000 0.000 0.000
5 Sn 0.500 0.500 0.500

space-group type: P4/mmm, No. 123
calculated total energy: -6.79 eV/atom
theoretical density: 8.5 g cm⁻³

***

MgScMo2 | GGA-PBE | optimized geometry

a = 7.431 Å, b = 7.431 Å, c = 5.908 Å
α = 51.04°, β = 51.04°, γ = 90.00°
Fractional coordinates of all 8 atoms:
1 Mo 0.875 0.863 0.750
2 Mo 0.137 0.625 0.250
3 Mg 0.250 0.750 0.500
4 Sc 0.000 0.000 0.000
5 Mo 0.375 0.387 0.750
6 Mg 0.500 0.500 0.000
7 Sc 0.750 0.250 0.500
8 Mo 0.613 0.125 0.250

space-group type: I-42d, No. 122
theoretical density: 5.8 g cm⁻³
formation energy from the elements: 3.3 eV/f.u.

***

Dy4YS4 | GGA-PBE | optimized geometry

a = 5.495 Å, b = 6.721 Å, c = 6.719 Å
α = 80.28°, β = 65.79°, γ = 65.69°
Fractional coordinates of all 9 atoms:
1 Dy 0.198 0.199 0.406
2 S 0.302 0.797 0.600
3 Dy 0.802 0.801 0.594
4 Y 0.000 0.000 0.000
5 S 0.698 0.203 0.400
6 Dy 0.604 0.595 0.199
7 Dy 0.396 0.405 0.801
8 S 0.099 0.600 0.203
9 S 0.901 0.400 0.797

space-group type: P-1, No. 2
formation energy without anion corrections: -1.766 eV per atom
theoretical density: 7.0 g cm⁻³

***

TbSmTm2 | GGA-PBE | optimized geometry

a = 4.977 Å, b = 5.021 Å, c = 5.021 Å
α = 90.00°, β = 90.00°, γ = 90.00°
Fractional coordinates of all 4 atoms:
1 Tm 0.000 0.500 0.000
2 Sm 0.500 0.000 0.000
3 Tm 0.000 0.000 0.500
4 Tb 0.500 0.500 0.500

space-group type: P4/mmm, No. 123
offset from the most stable computed form: 11 meV/atom
theoretical density: 8.6 g cm⁻³
formation energy from the elements: 0.1 eV/f.u.

***

Y2BeCd | GGA-PBE | optimized geometry

a = 7.828 Å, b = 7.828 Å, c = 6.480 Å
α = 52.84°, β = 52.84°, γ = 90.00°
Fractional coordinates of all 8 atoms:
1 Y 0.166 0.625 0.250
2 Y 0.375 0.416 0.750
3 Cd 0.000 0.000 0.000
4 Be 0.250 0.750 0.500
5 Cd 0.750 0.250 0.500
6 Be 0.500 0.500 0.000
7 Y 0.875 0.834 0.750
8 Y 0.584 0.125 0.250

space-group type: I-42d, No. 122
offset from the most stable computed form: 450 meV/atom
theoretical density: 4.8 g cm⁻³
formation energy from the elements: 1.2 eV/f.u.

***

Y4SnIr | GGA-PBE | optimized geometry

a = 5.643 Å, b = 6.741 Å, c = 9.408 Å
α = 90.00°, β = 115.81°, γ = 90.00°
Fractional coordinates of all 12 atoms:
1 Sn 0.302 0.250 0.073
2 Ir 0.811 0.750 0.456
3 Y 0.073 0.991 0.741
4 Ir 0.189 0.250 0.544
5 Y 0.355 0.750 0.143
6 Y 0.583 0.250 0.440
7 Y 0.417 0.750 0.560
8 Y 0.073 0.509 0.741
9 Y 0.645 0.250 0.857
10 Y 0.927 0.009 0.259
11 Y 0.927 0.491 0.259
12 Sn 0.698 0.750 0.927

space-group type: P2_1/m, No. 11
offset from the most stable computed form: 0 meV/atom
theoretical density: 6.9 g cm⁻³
formation energy from the elements: -3.7 eV/f.u.

***

YUS4 | GGA-PBE | optimized geometry

a = 4.030 Å, b = 6.874 Å, c = 13.171 Å
α = 99.60°, β = 90.00°, γ = 90.00°
Last column: magnetic moment on the atom in μB.
Fractional coordinates of all 12 atoms:
1 S 0.500 0.618 0.394  -0.04
2 S 0.000 0.149 0.394  -0.04
3 S 0.500 0.382 0.606  -0.04
4 Y 0.500 0.000 0.500  0.00
5 S 0.000 0.851 0.606  -0.04
6 U 0.000 0.500 0.500  1.18
7 S 0.500 0.851 0.106  -0.04
8 Y 0.000 0.000 0.000  0.00
9 U 0.500 0.500 0.000  1.18
10 S 0.000 0.382 0.106  -0.04
11 S 0.000 0.618 0.894  -0.04
12 S 0.500 0.149 0.894  -0.04

space-group type: C2/m, No. 12
offset from the most stable computed form: 0 meV/atom
formation energy without anion corrections: -1.577 eV per atom
theoretical density: 4.2 g cm⁻³

***

K2MnIr | GGA-PBE | optimized geometry

a = 6.219 Å, b = 6.219 Å, c = 6.219 Å
α = 141.33°, β = 125.00°, γ = 69.25°
Last column: magnetic moment on the atom in μB.
Fractional coordinates of all 4 atoms:
1 Ir 0.316 0.816 0.500  0.24
2 Mn 0.429 0.429 0.000  3.65
3 K 0.726 0.226 0.500  0.00
4 K 0.029 0.029 0.000  0.00

space-group type: Imm2, No. 44
offset from the most stable computed form: 193 meV/atom
theoretical density: 4.5 g cm⁻³
formation energy from the elements: 2.5 eV/f.u.

***

LiInNiPt | GGA-PBE | optimized geometry

a = 3.971 Å, b = 3.971 Å, c = 4.695 Å
α = 115.02°, β = 115.02°, γ = 90.00°
Fractional coordinates of all 4 atoms:
1 Pt 0.250 0.750 0.500
2 In 0.500 0.500 0.000
3 Li 0.000 0.000 0.000
4 Ni 0.750 0.250 0.500

space-group type: I-4m2, No. 119
theoretical density: 10.5 g cm⁻³
formation energy from the elements: -1.6 eV/f.u.

***

Y8Ru | GGA-PBE | optimized geometry

a = 8.726 Å, b = 8.726 Å, c = 8.726 Å
α = 92.57°, β = 92.57°, γ = 155.54°
Fractional coordinates of all 9 atoms:
1 Y 0.000 0.335 0.335
2 Y 0.335 0.000 0.335
3 Y 0.640 0.360 0.000
4 Y 0.360 0.360 0.719
5 Y 0.000 0.665 0.665
6 Y 0.640 0.640 0.281
7 Y 0.665 0.000 0.665
8 Y 0.360 0.640 0.000
9 Ru 0.000 0.000 0.000

space-group type: I4/mmm, No. 139
theoretical density: 5.0 g cm⁻³
formation energy from the elements: 0.2 eV/f.u.